1.
The following is a DFT calculation (PBE) of a relaxed structure of TlHg.

a = 3.5988 Å, b = 3.5988 Å, c = 5.2277 Å
α = 90.00°, β = 90.00°, γ = 120.00°
Closest atoms and distances in Å follow each position.
Fractional positions:
Hg 0.0000 0.0000 0.0000  6 Tl 3.34, 6 Hg 3.60
Tl 0.6667 0.3333 0.5000  6 Hg 3.34, 6 Tl 3.60

**E**: -1.3280 eV/atom
**Space group**: No. 187

=====

2.
The following is a DFT calculation (PBE) of a relaxed structure of Tl7Hg3.

a = 6.5365 Å, b = 10.4183 Å, c = 10.4183 Å
α = 120.00°, β = 90.00°, γ = 90.00°
Closest atoms and distances in Å follow each position.
Fractional positions:
Hg 0.3603 0.7974 0.2026  8 Tl 3.15-3.40
Hg 0.8603 0.2026 0.4052  8 Tl 3.15-3.40
Tl 0.5419 0.3333 0.6667  3 Hg 3.15, 3 Tl 3.30
Tl 0.1887 0.4637 0.9275  4 Hg 3.19-3.40, 3 Tl 3.30-3.52
Tl 0.4063 0.1216 0.2431  3 Hg 3.20-3.31
Tl 0.6887 0.9275 0.4637  4 Hg 3.19-3.40, 3 Tl 3.30-3.52
Hg 0.3603 0.4052 0.2026  8 Tl 3.15-3.40
Tl 0.1887 0.0725 0.5363  4 Hg 3.19-3.40, 3 Tl 3.30-3.52
Tl 0.6887 0.5363 0.0725  4 Hg 3.19-3.40, 3 Tl 3.30-3.52
Hg 0.8603 0.2026 0.7974  8 Tl 3.15-3.40
Tl 0.0419 0.6667 0.3333  3 Hg 3.15, 3 Tl 3.30
Tl 0.6887 0.5363 0.4637  4 Hg 3.19-3.40, 3 Tl 3.30-3.52
Tl 0.9063 0.8784 0.1216  3 Hg 3.20-3.31
Tl 0.9063 0.8784 0.7569  3 Hg 3.20-3.31
Tl 0.1887 0.4637 0.5363  4 Hg 3.19-3.40, 3 Tl 3.30-3.52
Hg 0.3603 0.7974 0.5948  8 Tl 3.15-3.40
Tl 0.4063 0.7569 0.8784  3 Hg 3.20-3.31
Hg 0.8603 0.5948 0.7974  8 Tl 3.15-3.40
Tl 0.9063 0.2431 0.1216  3 Hg 3.20-3.31
Tl 0.4063 0.1216 0.8784  3 Hg 3.20-3.31

**E**: -1.7398 eV/atom
**Space group**: No. 186

=====

The evaluated M_tot for the records listed, in turn: 0.0; 0.0 μB/f.u..
The evaluated ΔE_f for the records listed, in turn: 6; 7 meV per atom.